# VPRuO2

VPRuO2 after structural relaxation (GGA+U, Alexandria).

Properties
Final energy ... -6.65 eV/atom
Size of the total moment ... 2.94 μB/f.u.
Crystal system ... tetragonal

Cell and atoms, written as extended XYZ:
```
5
Lattice="3.750 0.000 0.000 0.000 3.750 0.000 0.000 0.000 5.290" Properties=species:S:1:pos:R:3 pbc="T T T"
Ru 0.000 0.000 0.000
O 1.875 0.000 0.000
O 0.000 1.875 0.000
P 0.000 0.000 2.645
V 1.875 1.875 2.645
```